This record from Alexandria via LeMat-Bulk describes a geometry-optimized CrTcAs3 structure. The functional is PBE-GGA.

Lattice parameters (Å, degrees): 6.435 3.218 8.460 90.00 111.17 90.00
Space group P2_1/m (No. 11)
Asymmetric unit:
Cr  0.222  0.250  0.224 [2 per cell]
Tc  0.244  0.750  0.737 [2 per cell]
As  0.072  0.250  0.896 [2 per cell]
As  0.198  0.250  0.493 [2 per cell]
As  0.434  0.750  0.133 [2 per cell]

- Calculated density: 7.6 Mg/m³
- Excess energy over the best structure of this formula in the dataset: 0.0 meV/atom
- Spin magnetization: 0.0 μB/f.u.
- Energy of formation: -45 meV/atom
- Energy: -68.329 eV/cell

This record from Alexandria via LeMat-Bulk describes a geometry-optimized CrTc2As structure. The functional is PBE-GGA.

Lattice parameters (Å, degrees): 3.011 4.221 8.613 90.00 90.00 90.00
Space group Imm2 (No. 44)
Asymmetric unit:
Cr  0.000  0.000  0.000 [2 per cell]
Tc  0.000  0.000  0.530 [2 per cell]
Tc  0.000  0.500  0.759 [2 per cell]
As  0.000  0.500  0.272 [2 per cell]

- Calculated density: 9.8 Mg/m³
- Spin magnetization: 0.0 μB/f.u.
- Energy of formation: 11 meV/atom
- Energy: -69.921 eV/cell

This record from Alexandria via LeMat-Bulk describes a geometry-optimized CrTc2As structure. The functional is PBE-GGA.

Lattice parameters (Å, degrees): 2.860 3.996 4.919 90.00 90.19 90.00
Space group Pm (No. 6)
Asymmetric unit:
Cr  0.000  0.000  0.000 [1 per cell]
Tc  0.003  0.000  0.514 [1 per cell]
Tc  0.501  0.500  0.255 [1 per cell]
As  0.502  0.500  0.761 [1 per cell]

- Calculated density: 9.5 Mg/m³
- Spin magnetization: 0.0 μB/f.u.
- Energy of formation: 85 meV/atom
- Energy: -34.666 eV/cell